Entry 1:
Below is a geometry-optimized Hf2Co2Bi structure, with properties calculated at the GGA-PBEsol level.

Calculated values
The calculation puts the final energy at -41.2 eV/f.u. As for the density of states at the Fermi level: 3.486 states/eV per cell.

POSCAR file:
```
Hf2Co2Bi
1.0
4.272 0.000 0.000
0.000 4.272 0.000
-2.136 -2.136 5.003
Co Hf Bi
2 2 1
Direct
0.388 0.388 0.777
0.612 0.612 0.223
0.250 0.750 0.500
0.750 0.250 0.500
0.000 0.000 0.000
```

---

Entry 2:
Below is a geometry-optimized Hf6CoBi2 structure, with properties calculated at the GGA-PBEsol level.

Calculated values
The calculation puts the final energy at -82.0 eV/f.u. As for the density of states at the Fermi level: 5.305 states/eV per cell.

POSCAR file:
```
Hf6CoBi2
1.0
3.567 0.000 0.000
0.000 7.768 0.000
0.000 -3.884 6.727
Hf Co Bi
6 1 2
Direct
0.500 0.387 0.387
0.500 0.613 0.000
0.500 0.000 0.613
0.000 0.765 0.765
0.000 0.235 0.000
0.000 0.000 0.235
0.500 0.000 0.000
0.000 0.667 0.333
0.000 0.333 0.667
```

---

Entry 3:
Below is a geometry-optimized HfCoBiW2 structure, with properties calculated at the GGA-PBEsol level.

Calculated values
The calculation puts the final energy at -44.2 eV/f.u. As for the density of states at the Fermi level: 3.748 states/eV per cell.

POSCAR file:
```
HfCoBiW2
1.0
-4.501 -0.470 0.212
0.280 -3.794 -2.459
0.448 -2.512 3.928
Co Hf Bi W
1 1 1 2
Direct
0.000 0.000 0.000
0.500 0.500 0.500
0.000 0.000 0.500
0.000 0.500 0.000
0.500 0.000 0.000
```

---

Entry 4:
Below is a geometry-optimized HfCo2BiW structure, with properties calculated at the GGA-PBEsol level.

Calculated values
The calculation puts the final energy at -34.1 eV/f.u. As for the density of states at the Fermi level: 6.272 states/eV per cell.

POSCAR file:
```
HfCo2BiW
1.0
-1.220 -3.772 1.899
1.747 -2.250 -3.348
4.632 -0.211 2.558
Co Hf Bi W
2 1 1 1
Direct
0.000 0.500 0.000
0.500 0.000 0.000
0.000 0.000 0.000
0.000 0.000 0.500
0.500 0.500 0.500
```